Li3Hg3Pd2 | PBE-GGA | relaxed

extended XYZ file:
```
8
Lattice="8.740 -1.976 0.000 8.740 1.976 0.000 -0.976 0.000 4.062" Properties=species:S:1:pos:R:3 pbc="T T T"
Li 0.000 0.000 0.000
Li 1.874 0.000 2.613
Li 14.630 0.000 1.449
Hg 5.587 0.000 3.519
Hg 8.252 0.000 2.031
Hg 10.917 0.000 0.543
Pd 4.129 0.000 1.014
Pd 12.375 0.000 3.048
```

Values from the calculation:
Space group = C2/m (12)
E_tot = -2.493 eV/atom
Crystal system = monoclinic
Formation energy from the elements = -363 meV/atom